Entry from Alexandria via LeMat-Bulk: an optimized crystal structure of As2OsCl (GGA-PBEsol).

Lattice parameters (Å, degrees): 2.951 2.951 9.044 90.00 90.00 120.36
Fractional coordinates of all 4 atoms:
As 0.000 0.000 0.000
As 0.500 0.500 0.294
Os 0.500 0.500 0.783
Cl 0.000 0.000 0.558

## Properties
Raw formation energy in eV per atom: 0.5234